VASP calculation (PBE-GGA) on crystalline Ho3Co at its relaxed geometry.

- SG = P6_3/mmc, No. 194
- E (eV per cell) = -40.5

The structure in POSCAR format:
```
Ho3Co
1.0
7.088 0.000 0.000
-3.544 6.138 0.000
0.000 0.000 4.416
Ho Co
6 2
Cartesian
0.000 2.282 1.104 Ho
-1.568 4.997 1.104 Ho
1.976 1.141 3.312 Ho
1.568 4.997 1.104 Ho
5.112 1.141 3.312 Ho
3.544 3.856 3.312 Ho
0.000 4.092 3.312 Co
3.544 2.046 1.104 Co
```